<a>
First-principles (PBE-GGA) data for crystalline Cd2NiAu at its relaxed geometry, as listed in Alexandria via LeMat-Bulk.

## Properties
Its total magnetic moment is 0.00 μB/cell. As for the space-group type: Pmm2.

Unit cell a=3.0974 b=3.2373 c=7.0980 alpha=90.00 beta=90.00 gamma=90.00
With the nearest neighbours (Å) after each atom.
Sites, in units of the cell vectors:
Cd  0.0000  0.0000  0.0000  4 Au 2.92, 8 Cd 3.10-3.24
Cd  0.5000  0.5000  0.3100  4 Ni 2.72, 1 Au 3.02
Ni  0.0000  0.0000  0.5280  4 Au 2.68, 4 Cd 2.72
Au  0.5000  0.5000  0.7352  4 Ni 2.68, 4 Cd 2.92

<b>
First-principles (PBE-GGA) data for crystalline Cd2NiAu at its relaxed geometry, as listed in Alexandria via LeMat-Bulk.

## Properties
Its total magnetic moment is 0.00 μB/cell. As for the space-group type: P4/mmm.

Unit cell a=4.1855 b=4.1855 c=3.9881 alpha=90.00 beta=90.00 gamma=90.00
With the nearest neighbours (Å) after each atom.
Sites, in units of the cell vectors:
Cd  0.0000  0.5000  0.0000  4 Ni 2.89, 4 Au 2.89, 4 Cd 2.96
Cd  0.5000  0.0000  0.0000  4 Ni 2.89, 4 Au 2.89, 4 Cd 2.96
Ni  0.0000  0.0000  0.5000  8 Cd 2.89, 4 Au 2.96
Au  0.5000  0.5000  0.5000  8 Cd 2.89, 4 Ni 2.96

Computed stability ranking, most favorable first: <b>, <a>

<a>
First-principles (PBE-GGA) data for crystalline Cd2NiAu at its relaxed geometry, as listed in Alexandria via LeMat-Bulk.

## Properties
Its total magnetic moment is 0.00 μB/cell. As for the space-group type: Cmmm.

Unit cell a=4.7538 b=4.7538 c=3.1924 alpha=90.00 beta=90.00 gamma=102.20
With the nearest neighbours (Å) after each atom.
Sites, in units of the cell vectors:
Cd  0.0000  0.5000  0.0000  4 Au 2.86, 4 Ni 2.86, 4 Cd 2.99-3.19
Cd  0.5000  0.0000  0.0000  4 Au 2.86, 4 Ni 2.86, 4 Cd 2.99-3.19
Ni  0.0000  0.0000  0.5000  8 Cd 2.86, 2 Au 2.99, 2 Ni 3.19
Au  0.5000  0.5000  0.5000  8 Cd 2.86, 2 Ni 2.99, 2 Au 3.19

<b>
First-principles (PBE-GGA) data for crystalline Cd2NiAu at its relaxed geometry, as listed in Alexandria via LeMat-Bulk.

## Properties
Its total magnetic moment is 0.00 μB/cell. As for the space-group type: Imm2.

Unit cell a=5.6658 b=5.6658 c=5.6658 alpha=148.10 beta=131.53 gamma=59.20
With the nearest neighbours (Å) after each atom.
Sites, in units of the cell vectors:
Cd  0.0000  0.0000  0.0000  2 Ni 2.69, 4 Au 2.87
Cd  0.7130  0.2130  0.5000  4 Ni 2.80, 4 Cd 3.11-3.13, 2 Au 3.13
Ni  0.2224  0.7224  0.5000  2 Au 2.63, 6 Cd 2.69-2.80
Au  0.4371  0.4371  0.0000  2 Ni 2.63, 4 Cd 2.87

Computed stability ranking, most favorable first: <b>, <a>

<a>
First-principles (PBE-GGA) data for crystalline Cd2NiAu at its relaxed geometry, as listed in Alexandria via LeMat-Bulk.

## Properties
Its total magnetic moment is 0.00 μB/cell. As for the space-group type: I4/mmm.

Unit cell a=4.9331 b=4.9331 c=4.9331 alpha=129.48 beta=129.48 gamma=74.24
With the nearest neighbours (Å) after each atom.
Sites, in units of the cell vectors:
Cd  0.2500  0.7500  0.5000  4 Ni 2.88, 4 Au 2.88, 4 Cd 2.98
Cd  0.7500  0.2500  0.5000  4 Ni 2.88, 4 Au 2.88, 4 Cd 2.98
Ni  0.0000  0.0000  0.0000  8 Cd 2.88, 4 Au 2.98
Au  0.5000  0.5000  0.0000  8 Cd 2.88, 4 Ni 2.98

<b>
First-principles (PBE-GGA) data for crystalline Cd2NiAu at its relaxed geometry, as listed in Alexandria via LeMat-Bulk.

## Properties
Its total magnetic moment is 0.00 μB/cell. As for the space-group type: Fm-3m.

Unit cell a=4.6294 b=4.6294 c=4.6294 alpha=60.00 beta=60.00 gamma=60.00
With the nearest neighbours (Å) after each atom.
Sites, in units of the cell vectors:
Cd  0.2500  0.2500  0.2500  4 Ni 2.83, 4 Au 2.83
Cd  0.7500  0.7500  0.7500  4 Ni 2.83, 4 Au 2.83
Ni  0.0000  0.0000  0.0000  8 Cd 2.83
Au  0.5000  0.5000  0.5000  8 Cd 2.83

<c>
First-principles (PBE-GGA) data for crystalline Cd2NiAu at its relaxed geometry, as listed in Alexandria via LeMat-Bulk.

## Properties
Its total magnetic moment is 0.00 μB/cell. As for the space-group type: P-3m1.

Unit cell a=4.2190 b=4.2190 c=5.2848 alpha=90.00 beta=90.00 gamma=120.00
With the nearest neighbours (Å) after each atom.
Sites, in units of the cell vectors:
Cd  0.3333  0.6667  0.2071  3 Ni 2.67, 3 Au 2.89
Cd  0.6667  0.3333  0.7929  3 Ni 2.67, 3 Au 2.89
Ni  0.0000  0.0000  0.0000  2 Au 2.64, 6 Cd 2.67
Au  0.0000  0.0000  0.5000  2 Ni 2.64, 6 Cd 2.89

Computed stability ranking, most favorable first: <a>, <b>, <c>

<a>
First-principles (PBE-GGA) data for crystalline Cd2NiAu at its relaxed geometry, as listed in Alexandria via LeMat-Bulk.

## Properties
Its total magnetic moment is 0.00 μB/cell. As for the space-group type: Cm.

Unit cell a=5.4212 b=5.4212 c=4.8586 alpha=108.49 beta=108.49 gamma=31.96
With the nearest neighbours (Å) after each atom.
Sites, in units of the cell vectors:
Cd  0.0000  0.0000  0.0000  2 Ni 2.74, 4 Au 2.89-2.92, 2 Cd 2.99
Cd  0.2084  0.2084  0.6455  4 Ni 2.78-2.94, 3 Au 2.88-3.02, 2 Cd 2.99
Ni  0.7335  0.7335  0.1438  2 Au 2.66, 6 Cd 2.74-2.94
Au  0.4420  0.4420  0.4552  2 Ni 2.66, 5 Cd 2.88-2.92

<b>
First-principles (PBE-GGA) data for crystalline Cd2NiAu at its relaxed geometry, as listed in Alexandria via LeMat-Bulk.

## Properties
Its total magnetic moment is 0.00 μB/cell. As for the space-group type: I-4m2.

Unit cell a=5.0951 b=5.0951 c=5.0951 alpha=132.79 beta=132.79 gamma=68.98
With the nearest neighbours (Å) after each atom.
Sites, in units of the cell vectors:
Cd  0.0000  0.0000  0.0000  4 Au 2.89, 4 Cd 2.93, 4 Ni 2.93
Cd  0.7500  0.2500  0.5000  4 Ni 2.89, 4 Au 2.93, 4 Cd 2.93
Ni  0.2500  0.7500  0.5000  8 Cd 2.89-2.93, 4 Au 2.93
Au  0.5000  0.5000  0.0000  8 Cd 2.89-2.93, 4 Ni 2.93

Computed stability ranking, most favorable first: <a>, <b>

<a>
First-principles (PBE-GGA) data for crystalline Cd2NiAu at its relaxed geometry, as listed in Alexandria via LeMat-Bulk.

## Properties
Its total magnetic moment is 0.00 μB/cell. As for the space-group type: I-42d.

Unit cell a=5.9235 b=5.9235 c=5.9235 alpha=102.76 beta=102.76 gamma=123.94
With the nearest neighbours (Å) after each atom.
Sites, in units of the cell vectors:
Cd  0.1012  0.6250  0.9762  2 Ni 2.59, 2 Cd 2.81, 2 Au 2.83
Cd  0.3750  0.3512  0.4762  2 Ni 2.59, 2 Cd 2.81, 2 Au 2.83
Cd  0.6488  0.1250  0.0238  2 Ni 2.59, 2 Cd 2.81, 2 Au 2.83
Cd  0.8750  0.8988  0.5238  2 Ni 2.59, 2 Cd 2.81, 2 Au 2.83
Ni  0.0000  0.0000  0.0000  4 Cd 2.59, 2 Au 2.78
Ni  0.7500  0.2500  0.5000  4 Cd 2.59, 2 Au 2.78
Au  0.2500  0.7500  0.5000  2 Ni 2.78, 4 Cd 2.83
Au  0.5000  0.5000  0.0000  2 Ni 2.78, 4 Cd 2.83

<b>
First-principles (PBE-GGA) data for crystalline Cd2NiAu at its relaxed geometry, as listed in Alexandria via LeMat-Bulk.

## Properties
Its total magnetic moment is 0.01 μB/cell. As for the space-group type: R-3m.

Unit cell a=9.2183 b=9.2183 c=9.2183 alpha=18.78 beta=18.78 gamma=18.78
With the nearest neighbours (Å) after each atom.
Sites, in units of the cell vectors:
Cd  0.2428  0.2428  0.2428  3 Ni 2.70, 6 Cd 3.01, 3 Au 3.01
Cd  0.7572  0.7572  0.7572  3 Ni 2.70, 6 Cd 3.01, 3 Au 3.01
Ni  0.5000  0.5000  0.5000  6 Cd 2.70, 6 Ni 3.01
Au  0.0000  0.0000  0.0000  6 Au 3.01, 6 Cd 3.01

Computed stability ranking, most favorable first: <b>, <a>

<a>
First-principles (PBE-GGA) data for crystalline Cd2NiAu at its relaxed geometry, as listed in Alexandria via LeMat-Bulk.

## Properties
Its total magnetic moment is 0.00 μB/cell. As for the space-group type: Pm.

Unit cell a=3.0712 b=4.3494 c=5.5858 alpha=90.00 beta=105.53 gamma=90.00
With the nearest neighbours (Å) after each atom.
Sites, in units of the cell vectors:
Cd  0.0000  0.0000  0.0000  4 Ni 2.82-2.83, 3 Au 2.88-2.93, 2 Cd 3.07
Cd  0.3302  0.5000  0.6630  3 Ni 2.76-3.05, 4 Au 2.88-2.89, 2 Cd 3.07
Ni  0.5834  0.5000  0.1760  2 Au 2.65, 5 Cd 2.76-2.83
Au  0.7279  0.0000  0.4557  2 Ni 2.65, 7 Cd 2.88-2.93

<b>
First-principles (PBE-GGA) data for crystalline Cd2NiAu at its relaxed geometry, as listed in Alexandria via LeMat-Bulk.

## Properties
Its total magnetic moment is 0.00 μB/cell. As for the space-group type: C2/m.

Unit cell a=4.8934 b=4.8934 c=5.1300 alpha=102.11 beta=102.11 gamma=36.06
With the nearest neighbours (Å) after each atom.
Sites, in units of the cell vectors:
Cd  0.2402  0.2402  0.2361  3 Ni 2.75-2.93, 3 Au 2.86-2.92, 6 Cd 2.90-3.07
Cd  0.7598  0.7598  0.7639  3 Ni 2.75-2.93, 3 Au 2.86-2.92, 6 Cd 2.90-3.07
Ni  0.5000  0.5000  0.0000  6 Cd 2.75-2.93, 4 Au 2.98, 2 Ni 3.03
Au  0.0000  0.0000  0.5000  6 Cd 2.86-2.92, 4 Ni 2.98, 2 Au 3.03

Computed stability ranking, most favorable first: <a>, <b>